{"formula": "NaZnBr2Cl", "functional": "PBE", "state": "optimized geometry", "cell": [[5.285, 0.000, 0.000], [0.000, 5.285, 0.000], [0.000, 0.000, 4.824]], "species": ["Na", "Zn", "Br", "Br", "Cl"], "fractional_positions": [[0.000, 0.000, 0.000], [0.500, 0.500, 0.500], [0.000, 0.500, 0.500], [0.500, 0.000, 0.500], [0.500, 0.500, 0.000]], "spacegroup": "P4/mmm, No. 123", "magnetic_moment_mub_per_atom": 0.0000, "e_form_raw_mev_per_atom": -1027.3}

=====

{"formula": "BaAs2Ru", "functional": "PBE", "state": "optimized geometry", "cell": [[4.667, -1.880, 0.000], [4.667, 1.880, 0.000], [-1.620, 0.000, 5.671]], "species": ["Ba", "As", "As", "Ru"], "fractional_positions": [[0.000, 0.000, 0.000], [0.217, 0.217, 0.617], [0.480, 0.480, 0.483], [0.774, 0.774, 0.397]], "spacegroup": "Cm, No. 8", "magnetic_moment_mub_per_atom": 0.0000, "n_ef_per_ev_cell": 2.0, "e_form_ev_per_fu": -1.10}

=====

{"formula": "Pu3P2H", "functional": "PBE", "state": "optimized geometry", "cell": [[7.423, 0.000, 0.000], [0.000, 3.978, 0.000], [0.000, 0.000, 15.368]], "species": ["Pu", "Pu", "Pu", "Pu", "Pu", "Pu", "Pu", "Pu", "Pu", "Pu", "Pu", "Pu", "P", "P", "P", "P", "P", "P", "P", "P", "H", "H", "H", "H"], "fractional_positions": [[0.013, 0.250, 0.107], [0.106, 0.250, 0.710], [0.120, 0.750, 0.419], [0.380, 0.250, 0.919], [0.394, 0.750, 0.210], [0.487, 0.750, 0.607], [0.513, 0.250, 0.393], [0.606, 0.250, 0.790], [0.620, 0.750, 0.081], [0.880, 0.250, 0.581], [0.894, 0.750, 0.290], [0.987, 0.750, 0.893], [0.168, 0.250, 0.283], [0.244, 0.750, 0.034], [0.256, 0.250, 0.534], [0.332, 0.750, 0.783], [0.668, 0.250, 0.217], [0.744, 0.750, 0.466], [0.756, 0.250, 0.966], [0.832, 0.750, 0.717], [0.099, 0.250, 0.856], [0.401, 0.750, 0.356], [0.599, 0.250, 0.644], [0.901, 0.750, 0.144]], "spacegroup": "Pnma, No. 62", "magnetic_moment_mub_per_atom": 0.8643, "n_ef_per_ev_cell": 82.5, "relative_energy_ev_per_atom": 0.000}